1.
Material: Nd9Tl2Cd
Method: DFT, PBE
State: optimized geometry

Results
- Energy of formation: -173 meV per atom
- E: -4.220 eV per atom

Geometry as POSCAR:
```
Nd9Tl2Cd
1.0
4.998 0.000 0.000
0.000 4.998 0.000
0.000 0.000 14.928
Cd Nd Tl
1 9 2
Direct
0.000 0.000 0.000 Cd
0.500 0.000 0.500 Nd
0.500 0.500 0.669 Nd
0.500 0.500 0.331 Nd
0.500 0.000 0.834 Nd
0.500 0.000 0.166 Nd
0.000 0.500 0.500 Nd
0.000 0.500 0.834 Nd
0.500 0.500 0.000 Nd
0.000 0.500 0.166 Nd
0.000 0.000 0.333 Tl
0.000 0.000 0.667 Tl
```

***

2.
Material: LiMg2SnN
Method: DFT, PBE
State: optimized geometry

Results
- E: -3.826 eV per atom
- Raw formation energy: -0.340 eV per atom

Geometry as POSCAR:
```
LiMg2SnN
1.0
4.232 0.000 0.000
0.000 4.232 0.000
0.000 0.000 4.607
Sn Li Mg N
1 1 2 1
Direct
0.500 0.500 0.500 Sn
0.000 0.000 0.500 Li
0.000 0.500 0.000 Mg
0.500 0.000 0.000 Mg
0.000 0.000 0.000 N
```

***

3.
Material: Li2SiHAu
Method: DFT, PBE
State: optimized geometry

Results
- E: -3.403 eV per atom

Geometry as POSCAR:
```
Li2SiHAu
1.0
3.877 0.000 0.000
0.000 3.877 0.000
0.000 0.000 3.911
Au Li Si H
1 2 1 1
Direct
0.500 0.500 0.500 Au
0.500 0.000 0.000 Li
0.000 0.500 0.000 Li
0.000 0.000 0.500 Si
0.000 0.000 0.000 H
```

***

4.
Material: La3Mg
Method: DFT, PBE
State: optimized geometry

Results
- Energy of formation: 55 meV per atom
- E: -4.039 eV per atom

Geometry as POSCAR:
```
La3Mg
1.0
-4.340 4.837 0.638
0.534 -0.379 6.497
4.850 4.370 -0.144
La Mg
6 2
Direct
0.750 0.500 0.000 La
0.250 0.500 0.000 La
0.000 0.750 0.500 La
0.000 0.250 0.500 La
0.500 0.000 0.250 La
0.500 0.000 0.750 La
0.000 0.000 0.000 Mg
0.500 0.500 0.500 Mg
```